[1]
Compound: LiCd3Rh2
Source: the Alexandria database
Functional: PBE
Structure: optimized geometry

Structure (CIF):
```
data_LiCd3Rh2
_symmetry_space_group_name_H-M 'C m m m'
_symmetry_Int_Tables_number 65
_symmetry_space_group_name_Hall '-C 2 2'
_cell_length_a 4.5602
_cell_length_b 13.8485
_cell_length_c 3.2414
_cell_angle_alpha 90.00
_cell_angle_beta 90.00
_cell_angle_gamma 90.00
loop_
_atom_site_label
_atom_site_fract_x
_atom_site_fract_y
_atom_site_fract_z
Li1 0.0000 0.0000 0.0000
Cd1 0.0000 0.1711 0.5000
Cd2 0.0000 0.5000 0.5000
Rh1 0.0000 0.3395 0.0000
```

## Properties
Energy of formation from the pure elements: -0.21 eV per atom
Magnetization: 0.00 μB per formula unit
D(E_F): 2.13 states/eV/f.u.


[2]
Compound: SnHgPbBr2
Source: the Alexandria database
Functional: PBE
Structure: optimized geometry

Structure (CIF):
```
data_SnHgPbBr2
_symmetry_space_group_name_H-M 'P 4/m m m'
_symmetry_Int_Tables_number 123
_symmetry_space_group_name_Hall '-P 4 2'
_cell_length_a 5.7154
_cell_length_b 5.7154
_cell_length_c 5.6739
_cell_angle_alpha 90.00
_cell_angle_beta 90.00
_cell_angle_gamma 90.00
loop_
_atom_site_label
_atom_site_fract_x
_atom_site_fract_y
_atom_site_fract_z
Sn1 0.0000 0.0000 0.0000
Hg1 0.0000 0.0000 0.5000
Pb1 0.5000 0.5000 0.5000
Br1 0.0000 0.5000 0.0000
```

## Properties
ΔE_f (raw): -0.07 eV/atom
Magnetization: 1.22 μB per formula unit
D(E_F): 3.42 states/eV/f.u.


| no. | DFT total energy (eV/atom) |
| --- | --- |
| 1 | -3.44 |
| 2 | -2.34 |